# 1
TaTiZn: relaxed, PBE.

Cell: 4.6451 4.6451 2.7018 Å, 90.00 90.00 120.00°
Space group P-6m2 (No. 187)
Inequivalent atoms, fractional coordinates:
Ta (0.0000, 0.0000, 0.0000) (multiplicity 1)
Ti (0.6667, 0.3333, 0.0000) (multiplicity 1)
Zn (0.3333, 0.6667, 0.5000) (multiplicity 1)

ρ ... 9.677 g/cm3
Energy ... -6.777 eV/atom
Energy of formation ... 0.23 eV/atom

***

# 2
TaTiZn: relaxed, PBE.

Cell: 4.895 8.947 9.098 Å, 90.00 90.00 90.00°
Space group Fmmm (No. 69)
Inequivalent atoms, fractional coordinates:
Ta (0.000, 0.152, 0.000) (multiplicity 8)
Ti (0.000, 0.000, 0.351) (multiplicity 8)
Zn (0.250, 0.250, 0.250) (multiplicity 8)

ρ ... 9.809 g/cm3
Energy ... -6.996 eV/atom
Energy of formation ... 0.01 eV/atom

***

no.,distance to the lowest polymorph of the same formula (eV/f.u.)
1,0.80
2,0.15